1.
Compound: LiUNb
Source: the Open Quantum Materials Database
Functional: PBE
Structure: relaxed

abc: 3.8205 3.8205 4.9074
angles: 90.00 90.00 90.00
With the nearest neighbours (Å) after each atom.
Element x y z (fractional)
Li 0.0000 0.0000 0.0000  4 U 2.70
Nb 0.5000 0.5000 0.5000  2 U 2.45
U 0.5000 0.5000 0.0000  2 Nb 2.45, 4 Li 2.70

Calculated values
As for the crystal system: tetragonal. As for the electronic total energy: -0.2234 hartree per atom.

***

2.
Compound: Li2NbW
Source: the Open Quantum Materials Database
Functional: PBE
Structure: relaxed

abc: 4.4528 4.4528 4.4528
angles: 60.00 60.00 60.00
With the nearest neighbours (Å) after each atom.
Element x y z (fractional)
Li 0.0000 0.0000 0.0000  4 Nb 2.73, 4 Li 2.73
Li 0.2500 0.2500 0.2500  4 W 2.73, 4 Li 2.73
Nb 0.7500 0.7500 0.7500  4 W 2.73, 4 Li 2.73
W 0.5000 0.5000 0.5000  4 Li 2.73, 4 Nb 2.73

Calculated values
As for the crystal system: cubic. As for the electronic total energy: -0.2218 hartree per atom.

***

3.
Compound: LiNbW
Source: the Open Quantum Materials Database
Functional: PBE
Structure: relaxed

abc: 4.0838 4.0838 4.0838
angles: 60.00 60.00 60.00
With the nearest neighbours (Å) after each atom.
Element x y z (fractional)
Li 0.0000 0.0000 0.0000  4 Nb 2.50, 4 W 2.50
Nb 0.2500 0.2500 0.2500  4 Li 2.50
W 0.7500 0.7500 0.7500  4 Li 2.50

Calculated values
As for the crystal system: cubic. As for the electronic total energy: -0.2622 hartree per atom.

***

4.
Compound: LiYNb
Source: the Open Quantum Materials Database
Functional: PBE
Structure: relaxed

abc: 4.8157 4.8157 4.8157
angles: 60.00 60.00 60.00
With the nearest neighbours (Å) after each atom.
Element x y z (fractional)
Li 0.2500 0.2500 0.2500  4 Nb 2.95
Nb 0.0000 0.0000 0.0000  4 Li 2.95, 4 Y 2.95
Y 0.7500 0.7500 0.7500  4 Nb 2.95

Calculated values
As for the crystal system: cubic. As for the electronic total energy: -0.1809 hartree per atom.